Entry 1:
The following is a DFT calculation (PBE) of crystalline Li2ZrNb3N6 at its relaxed geometry.

Computed properties:
As for the total moment: 0.0 μB/cell. As for the mass density: 6.0 g/cm³. As for the formation energy (no corrections): -106.1 kJ/mol of atoms. The total energy comes out at -8.8108 eV per atom. The calculation puts the density of states at the Fermi level at 0.354 states/eV per atom.

a b c (Å): 5.372 9.295 5.476
angles (deg): 90.00 108.47 90.00
Space group C2/m (No. 12)
One atom of each set of equivalent atoms:
Li  0.000  0.165  0.000 x4
Zr  0.000  0.500  0.000 x2
Nb  0.000  0.000  0.500 x2
Nb  0.000  0.323  0.500 x4
N  0.241  0.500  0.732 x4
N  0.250  0.167  0.741 x8



Entry 2:
The following is a DFT calculation (PBE) of crystalline MnInI5 at its relaxed geometry.

Computed properties:
As for the total moment: 20.0 μB/cell. As for the mass density: 4.2 g/cm³. As for the formation energy (no corrections): -38.9 kJ/mol of atoms. The total energy comes out at -3.2117 eV per atom.

a b c (Å): 11.360 11.648 10.907
angles (deg): 90.00 118.33 90.00
Space group C2/c (No. 15)
One atom of each set of equivalent atoms:
Mn  0.000  0.000  0.000 x4
In  0.000  0.372  0.250 x4
I  0.000  0.064  0.750 x4
I  0.017  0.251  0.477 x8
I  0.207  0.466  0.849 x8



Entry 3:
The following is a DFT calculation (PBE) of crystalline CsHg2S at its relaxed geometry.

Computed properties:
As for the total moment: 0.0 μB/cell. As for the mass density: 6.7 g/cm³. As for the formation energy (no corrections): -20.6 kJ/mol of atoms. The total energy comes out at -1.6092 eV per atom. The calculation puts the density of states at the Fermi level at 0.936 states/eV per atom.

a b c (Å): 5.1332 5.1332 18.5137
angles (deg): 90.00 90.00 120.00
Space group R-3m (No. 166, hexagonal axes)
One atom of each set of equivalent atoms:
Cs  0.0000  0.0000  0.0000 x3
Hg  0.0000  0.0000  0.2095 x6
S  0.0000  0.0000  0.5000 x3



Entry 4:
The following is a DFT calculation (PBE) of crystalline Al2CrPb at its relaxed geometry.

Computed properties:
As for the total moment: 10.2 μB/cell. For the formation enthalpy at 0 K, the calculation gives 0.4017 eV per atom. As for the mass density: 6.5 g/cm³. The total energy comes out at -4.8025 eV per atom. The calculation puts the density of states at the Fermi level at 0.479 states/eV per atom.

a b c (Å): 3.1051 3.1051 28.7736
angles (deg): 90.00 90.00 120.00
Space group R3m (No. 160, hexagonal axes)
One atom of each set of equivalent atoms:
Al  0.0000  0.0000  0.0000 x3
Al  0.0000  0.0000  0.2551 x3
Cr  0.0000  0.0000  0.7351 x3
Pb  0.0000  0.0000  0.4893 x3



Entry 5:
The following is a DFT calculation (PBE) of crystalline ThPaSeS at its relaxed geometry.

Computed properties:
As for the total moment: 1.9 μB/cell. As for the mass density: 10.8 g/cm³. As for the formation energy (no corrections): -114.6 kJ/mol of atoms. The total energy comes out at -7.3192 eV per atom. The calculation puts the density of states at the Fermi level at 1.425 states/eV per atom.

a b c (Å): 7.074 7.074 7.074
angles (deg): 90.00 90.00 90.00
Space group F-43m (No. 216)
One atom of each set of equivalent atoms:
Th  0.000  0.000  0.000 x4
Pa  0.000  0.000  0.500 x4
Se  0.250  0.250  0.750 x4
S  0.250  0.250  0.250 x4



Entry 6:
The following is a DFT calculation (PBE) of crystalline NaBeAsSe2 at its relaxed geometry.

Computed properties:
As for the total moment: 0.0 μB/cell. As for the mass density: 3.5 g/cm³. As for the formation energy (no corrections): 118.9 kJ/mol of atoms. The total energy comes out at -2.1009 eV per atom. The calculation puts the density of states at the Fermi level at 1.044 states/eV per atom.

a b c (Å): 5.078 5.078 4.939
angles (deg): 90.00 90.00 90.00
Space group P4/mmm (No. 123)
One atom of each set of equivalent atoms:
Na  0.000  0.000  0.000 x1
Be  0.500  0.500  0.500 x1
As  0.000  0.000  0.500 x1
Se  0.000  0.500  0.000 x2



Entry 7:
The following is a DFT calculation (PBE) of crystalline Co3GePd at its relaxed geometry.

Computed properties:
As for the total moment: 4.5 μB/cell. For the formation enthalpy at 0 K, the calculation gives 0.8774 eV per atom. As for the mass density: 7.4 g/cm³. The total energy comes out at -5.3481 eV per atom. The calculation puts the density of states at the Fermi level at 1.954 states/eV per atom.

a b c (Å): 4.301 4.301 4.301
angles (deg): 90.00 90.00 90.00
Space group Pm-3m (No. 221)
One atom of each set of equivalent atoms:
Co  0.000  0.000  0.500 x3
Ge  0.000  0.000  0.000 x1
Pd  0.500  0.500  0.500 x1



Entry 8:
The following is a DFT calculation (PBE) of crystalline Sr2PaP3Rh12 at its relaxed geometry.

Computed properties:
As for the total moment: 0.0 μB/cell. For the formation enthalpy at 0 K, the calculation gives -0.2627 eV per atom. As for the mass density: 8.5 g/cm³. The total energy comes out at -6.7797 eV per atom. The calculation puts the density of states at the Fermi level at 0.726 states/eV per atom.

a b c (Å): 8.3757 8.3757 16.7932
angles (deg): 90.00 90.00 120.00
Space group R-3m (No. 166, hexagonal axes)
One atom of each set of equivalent atoms:
Sr  0.0000  0.0000  0.0979 x6
Pa  0.0000  0.0000  0.5000 x3
P  0.0000  0.5000  0.0000 x9
Rh  0.0113  0.5056  0.8669 x18
Rh  0.0603  0.5301  0.3561 x18



Entry 9:
The following is a DFT calculation (PBE) of crystalline Sr2LaIn2 at its relaxed geometry.

Computed properties:
As for the total moment: 0.6 μB/cell. For the formation enthalpy at 0 K, the calculation gives -0.2114 eV per atom. As for the mass density: 5.2 g/cm³. The total energy comes out at -2.9650 eV per atom. The calculation puts the density of states at the Fermi level at 0.969 states/eV per atom.

a b c (Å): 9.837 9.837 3.592
angles (deg): 90.00 90.00 90.00
Space group P4/mbm (No. 127)
One atom of each set of equivalent atoms:
Sr  0.125  0.375  0.000 x4
La  0.000  0.000  0.000 x2
In  0.175  0.675  0.500 x4



Entry 10:
The following is a DFT calculation (PBE) of crystalline In2Si2I at its relaxed geometry.

Computed properties:
As for the total moment: 0.0 μB/cell. As for the mass density: 5.4 g/cm³. As for the formation energy (no corrections): 23.1 kJ/mol of atoms. The total energy comes out at -3.3350 eV per atom. The calculation puts the density of states at the Fermi level at 0.734 states/eV per atom.

a b c (Å): 5.068 5.068 9.857
angles (deg): 90.00 90.00 90.00
Space group I4/mmm (No. 139)
One atom of each set of equivalent atoms:
In  0.000  0.500  0.250 x4
Si  0.000  0.000  0.120 x4
I  0.000  0.000  0.500 x2



Entry 11:
The following is a DFT calculation (PBE) of crystalline Hf8CuN2 at its relaxed geometry.

Computed properties:
As for the total moment: 0.0 μB/cell. As for the mass density: 11.8 g/cm³. As for the formation energy (no corrections): -33.9 kJ/mol of atoms. The total energy comes out at -9.4760 eV per atom. The calculation puts the density of states at the Fermi level at 0.982 states/eV per atom.

a b c (Å): 12.092 6.641 5.364
angles (deg): 90.00 94.54 90.00
Space group C2/m (No. 12)
One atom of each set of equivalent atoms:
Hf  0.091  0.232  0.223 x8
Hf  0.156  0.000  0.736 x4
Hf  0.186  0.500  0.778 x4
Cu  0.000  0.500  0.500 x2
N  0.173  0.500  0.172 x4



Entry 12:
The following is a DFT calculation (PBE) of crystalline NpCd2In at its relaxed geometry.

Computed properties:
As for the total moment: 4.8 μB/cell. For the formation enthalpy at 0 K, the calculation gives 0.1909 eV per atom. As for the mass density: 9.5 g/cm³. The total energy comes out at -4.1865 eV per atom. The calculation puts the density of states at the Fermi level at 2.817 states/eV per atom.

a b c (Å): 4.576 4.576 4.818
angles (deg): 90.00 90.00 90.00
Space group P4/mmm (No. 123)
One atom of each set of equivalent atoms:
Np  0.000  0.000  0.000 x1
Cd  0.000  0.500  0.500 x2
In  0.500  0.500  0.000 x1